First-principles (PBE) data for crystalline LaMgH8Rh2 at its relaxed geometry, as listed in Alexandria via LeMat-Bulk.

The space group is R-3 (No. 148, hexagonal axes) and the conventional cell measures 4.8258, 4.8258 and 17.0764 Å, with angles of 90.00, 90.00 and 120.00 degrees. The distinct sites, in fractional coordinates, are La at (0.0000, 0.0000, 0.0000), Mg at (0.0000, 0.0000, 0.5000), H at (0.0000, 0.0000, 0.3017), H at (0.0202, 0.2805, 0.8814) and Rh at (0.0000, 0.0000, 0.1995).

=====

First-principles (PBE) data for crystalline La2MgH12Rh3 at its relaxed geometry, as listed in Alexandria via LeMat-Bulk.

The space group is R-3m (No. 166, hexagonal axes) and the conventional cell measures 6.4971, 6.4971 and 14.0294 Å, with angles of 90.00, 90.00 and 120.00 degrees. The distinct sites, in fractional coordinates, are La at (0.0000, 0.0000, 0.1190), Mg at (0.0000, 0.0000, 0.5000), H at (0.0034, 0.5017, 0.1191), H at (0.0439, 0.5220, 0.3369) and Rh at (0.0000, 0.5000, 0.0000).

=====

First-principles (PBE) data for crystalline La2MgH6Ru at its relaxed geometry, as listed in Alexandria via LeMat-Bulk.

The space group is I4/mmm (No. 139) and the conventional cell measures 5.213, 5.213 and 8.634 Å, with angles of 90.00, 90.00 and 90.00 degrees. The distinct sites, in fractional coordinates, are La at (0.000, 0.500, 0.250), Mg at (0.000, 0.000, 0.000), H at (0.000, 0.000, 0.285), H at (0.234, 0.234, 0.500) and Ru at (0.000, 0.000, 0.500).

=====

First-principles (PBE) data for crystalline LaMgH2S at its relaxed geometry, as listed in Alexandria via LeMat-Bulk.

The space group is P4/mmm (No. 123) and the conventional cell measures 4.047, 4.047 and 4.956 Å, with angles of 90.00, 90.00 and 90.00 degrees. The distinct sites, in fractional coordinates, are La at (0.000, 0.000, 0.000), Mg at (0.500, 0.500, 0.500), H at (0.000, 0.500, 0.500) and S at (0.500, 0.500, 0.000).

=====

First-principles (PBE) data for crystalline LaMgHS2 at its relaxed geometry, as listed in Alexandria via LeMat-Bulk.

The space group is P4/mmm (No. 123) and the conventional cell measures 4.891, 4.891 and 3.852 Å, with angles of 90.00, 90.00 and 90.00 degrees. The distinct sites, in fractional coordinates, are La at (0.000, 0.000, 0.000), Mg at (0.500, 0.500, 0.500), H at (0.500, 0.500, 0.000) and S at (0.000, 0.500, 0.500).

=====

First-principles (PBE) data for crystalline La2MgSbH at its relaxed geometry, as listed in Alexandria via LeMat-Bulk.

The space group is P4/mmm (No. 123) and the conventional cell measures 5.043, 5.043 and 4.627 Å, with angles of 90.00, 90.00 and 90.00 degrees. The distinct sites, in fractional coordinates, are La at (0.000, 0.500, 0.000), Mg at (0.000, 0.000, 0.500), Sb at (0.500, 0.500, 0.500) and H at (0.000, 0.000, 0.000).

=====

First-principles (PBE) data for crystalline LaMg2SbH at its relaxed geometry, as listed in Alexandria via LeMat-Bulk.

The space group is P4/mmm (No. 123) and the conventional cell measures 4.686, 4.686 and 4.806 Å, with angles of 90.00, 90.00 and 90.00 degrees. The distinct sites, in fractional coordinates, are La at (0.000, 0.000, 0.000), Mg at (0.000, 0.500, 0.500), Sb at (0.500, 0.500, 0.000) and H at (0.000, 0.000, 0.500).

=====

First-principles (PBE) data for crystalline LaMgSc2H at its relaxed geometry, as listed in Alexandria via LeMat-Bulk.

The space group is P4/mmm (No. 123) and the conventional cell measures 4.736, 4.736 and 4.835 Å, with angles of 90.00, 90.00 and 90.00 degrees. The distinct sites, in fractional coordinates, are La at (0.000, 0.000, 0.000), Mg at (0.500, 0.500, 0.000), Sc at (0.000, 0.500, 0.500) and H at (0.000, 0.000, 0.500).

=====

Spin magnetization, respectively: 0.00; 0.76; 0.00; 0.01; 0.00; 0.00; 0.00; 0.00 μB per formula unit.
Raw total energy, respectively: -4.300; -4.451; -4.444; -4.251; -4.945; -4.372; -3.564; -4.627 eV per atom.
Calculated density, respectively: 5.5; 6.1; 5.8; 4.0; 4.1; 6.0; 4.9; 3.9 g cm⁻³.